! TlRuW, optimized geometry, DFT PBE; values from VASP
&SYSTEM
  ibrav = 0, nat = 3, ntyp = 3
/
ATOMIC_SPECIES
Tl 204.38 Tl.upf
Ru 101.07 Ru.upf
W 183.84 W.upf
CELL_PARAMETERS angstrom
-1.484 1.901 4.635
1.484 -1.901 4.635
1.484 1.901 -4.635
ATOMIC_POSITIONS angstrom
Tl 0.000 0.000 0.000
Ru 0.000 0.000 2.946
W 0.000 0.000 6.370
! - Symmetry: No. 44
! - V: 17.43 A^3/atom
! - Formation energy from the elements: 0.65 eV per atom
! - Crystal system: orthorhombic
! - Distance to the lowest polymorph of the same formula: 177.7 meV per atom